Record 1
A plane-wave DFT calculation with PBE-GGA was carried out for a relaxed structure of NaSnMoIr2.

Calculated values
- Crystal system: tetragonal
- Calculated total energy: -5.8713 eV/atom
- Fermi-level density of states: 3.67 states/eV per cell
- Spin magnetization: 0.00 μB/atom

a b c (Å): 4.8050 5.2100 4.8050
angles (deg): 90.00 90.00 90.00
Closest atoms and distances in Å follow each position.
Fractional positions:
Na  0.5000  0.5000  0.5000  4 Sn 3.40, 8 Ir 3.54
Mo  0.0000  0.0000  0.0000  4 Ir 2.40, 2 Sn 2.61
Ir  0.0000  0.0000  0.5000  2 Mo 2.40
Ir  0.5000  0.0000  0.0000  2 Mo 2.40
Sn  0.0000  0.5000  0.0000  2 Mo 2.61

---

Record 2
A plane-wave DFT calculation with PBE-GGA was carried out for a relaxed structure of NaTiMo2Ir.

Calculated values
- Crystal system: tetragonal
- Calculated total energy: -6.8479 eV/atom
- Fermi-level density of states: 5.71 states/eV per cell
- Spin magnetization: 0.25 μB/atom

a b c (Å): 4.8563 4.8153 4.8563
angles (deg): 90.00 90.00 90.00
Closest atoms and distances in Å follow each position.
Fractional positions:
Na  0.5000  0.5000  0.5000  8 Mo 3.42, 4 Ti 3.43
Mo  0.0000  0.0000  0.5000  2 Ir 2.43
Mo  0.5000  0.0000  0.0000  2 Ir 2.43
Ir  0.0000  0.0000  0.0000  2 Ti 2.41, 4 Mo 2.43
Ti  0.0000  0.5000  0.0000  2 Ir 2.41

---

Record 3
A plane-wave DFT calculation with PBE-GGA was carried out for a relaxed structure of NaMoIrW2.

Calculated values
- Crystal system: tetragonal
- Calculated total energy: -7.5816 eV/atom
- Fermi-level density of states: 6.59 states/eV per cell
- Spin magnetization: 0.11 μB/atom

a b c (Å): 4.8271 4.8406 4.8271
angles (deg): 90.00 90.00 90.00
Closest atoms and distances in Å follow each position.
Fractional positions:
Na  0.5000  0.5000  0.5000  4 Mo 3.41, 8 W 3.42
Mo  0.0000  0.5000  0.0000  2 Ir 2.42
Ir  0.0000  0.0000  0.0000  4 W 2.41, 2 Mo 2.42
W  0.0000  0.0000  0.5000  2 Ir 2.41
W  0.5000  0.0000  0.0000  2 Ir 2.41

---

Record 4
A plane-wave DFT calculation with PBE-GGA was carried out for a relaxed structure of Nb4Mo2Ir.

Calculated values
- Crystal system: tetragonal
- Calculated total energy: -10.0729 eV/atom
- Fermi-level density of states: 6.10 states/eV per cell
- Spin magnetization: 0.00 μB/atom

a b c (Å): 5.5064 5.5064 5.5064
angles (deg): 108.42 110.00 110.00
Closest atoms and distances in Å follow each position.
Fractional positions:
Nb  0.5000  0.0000  0.0000  4 Mo 2.75, 2 Ir 2.75
Nb  0.5000  0.5000  0.5000  4 Mo 2.75, 2 Ir 2.75
Nb  0.0000  0.0000  0.5000  2 Ir 2.75, 4 Mo 2.75
Nb  0.0000  0.5000  0.0000  4 Mo 2.75, 2 Ir 2.75
Mo  0.5000  0.5000  0.0000  8 Nb 2.75
Mo  0.5000  0.0000  0.5000  8 Nb 2.75
Ir  0.0000  0.0000  0.0000  8 Nb 2.75

---

Record 5
A plane-wave DFT calculation with PBE-GGA was carried out for a relaxed structure of Nb12Mo6Ir.

Calculated values
- Crystal system: trigonal
- Calculated total energy: -10.0377 eV/atom
- Fermi-level density of states: 16.91 states/eV per cell
- Spin magnetization: 0.00 μB/atom

a b c (Å): 7.2086 7.2086 7.2086
angles (deg): 101.83 101.83 101.83
Closest atoms and distances in Å follow each position.
Fractional positions:
Nb  0.9205  0.6612  0.6612  4 Mo 2.78-2.95, 3 Nb 2.90-2.98, 1 Ir 2.94
Nb  0.6612  0.9205  0.6612  4 Mo 2.78-2.95, 3 Nb 2.90-2.98, 1 Ir 2.94
Nb  0.6612  0.6612  0.9205  4 Mo 2.78-2.95, 3 Nb 2.90-2.98, 1 Ir 2.94
Nb  0.0795  0.3388  0.3388  4 Mo 2.78-2.95, 3 Nb 2.90-2.98, 1 Ir 2.94
Nb  0.3388  0.0795  0.3388  4 Mo 2.78-2.95, 3 Nb 2.90-2.98, 1 Ir 2.94
Nb  0.3388  0.3388  0.0795  4 Mo 2.78-2.95, 3 Nb 2.90-2.98, 1 Ir 2.94
Nb  0.8910  0.8911  0.3242  4 Nb 2.66-2.98, 4 Mo 2.67-2.93, 1 Ir 2.82
Nb  0.1089  0.6758  0.1090  4 Nb 2.66-2.98, 4 Mo 2.67-2.93, 1 Ir 2.82
Nb  0.6758  0.1090  0.1089  4 Nb 2.66-2.98, 4 Mo 2.67-2.93, 1 Ir 2.82
Nb  0.1090  0.1089  0.6758  4 Nb 2.66-2.98, 4 Mo 2.67-2.93, 1 Ir 2.82
Nb  0.8911  0.3242  0.8910  4 Nb 2.66-2.98, 4 Mo 2.67-2.93, 1 Ir 2.82
Nb  0.3242  0.8910  0.8911  4 Nb 2.66-2.98, 4 Mo 2.67-2.93, 1 Ir 2.82
Mo  0.5000  0.7667  0.2333  8 Nb 2.67-2.95, 2 Mo 2.99
Mo  0.7667  0.5000  0.2333  8 Nb 2.67-2.95, 2 Mo 2.99
Mo  0.2333  0.7667  0.5000  8 Nb 2.67-2.95, 2 Mo 2.99
Mo  0.5000  0.2333  0.7667  8 Nb 2.67-2.95, 2 Mo 2.99
Mo  0.2333  0.5000  0.7667  8 Nb 2.67-2.95, 2 Mo 2.99
Mo  0.7667  0.2333  0.5000  8 Nb 2.67-2.95, 2 Mo 2.99
Ir  0.0000  0.0000  0.0000  12 Nb 2.82-2.94

---

Record 6
A plane-wave DFT calculation with PBE-GGA was carried out for a relaxed structure of NbMoIr3.

Calculated values
- Crystal system: cubic
- Calculated total energy: -7.9539 eV/atom
- Fermi-level density of states: 8.67 states/eV per cell
- Spin magnetization: 0.00 μB/atom

a b c (Å): 4.6692 4.6692 4.6692
angles (deg): 90.00 90.00 90.00
Closest atoms and distances in Å follow each position.
Fractional positions:
Mo  0.0000  0.0000  0.0000  6 Ir 2.33
Ir  0.0000  0.5000  0.0000  2 Mo 2.33
Ir  0.0000  0.0000  0.5000  2 Mo 2.33
Ir  0.5000  0.0000  0.0000  2 Mo 2.33
Nb  0.5000  0.5000  0.5000  12 Ir 3.30

---

Record 7
A plane-wave DFT calculation with PBE-GGA was carried out for a relaxed structure of Nb5Mo4Ir.

Calculated values
- Crystal system: tetragonal
- Calculated total energy: -10.4503 eV/atom
- Fermi-level density of states: 5.70 states/eV per cell
- Spin magnetization: 0.00 μB/atom

a b c (Å): 3.2413 3.2413 16.0405
angles (deg): 90.00 90.00 90.00
Closest atoms and distances in Å follow each position.
Fractional positions:
Nb  0.5000  0.5000  0.1004  4 Mo 2.77, 4 Ir 2.80
Nb  0.5000  0.5000  0.2983  8 Mo 2.81
Nb  0.5000  0.5000  0.5000  8 Mo 2.80
Nb  0.5000  0.5000  0.7017  8 Mo 2.81
Nb  0.5000  0.5000  0.8996  4 Mo 2.77, 4 Ir 2.80
Mo  0.0000  0.0000  0.1971  8 Nb 2.77-2.81
Mo  0.0000  0.0000  0.3997  8 Nb 2.80-2.81
Mo  0.0000  0.0000  0.6003  8 Nb 2.80-2.81
Mo  0.0000  0.0000  0.8029  8 Nb 2.77-2.81
Ir  0.0000  0.0000  0.0000  8 Nb 2.80

---

Record 8
A plane-wave DFT calculation with PBE-GGA was carried out for a relaxed structure of Nb6MoIr.

Calculated values
- Crystal system: orthorhombic
- Calculated total energy: -10.2532 eV/atom
- Fermi-level density of states: 5.50 states/eV per cell
- Spin magnetization: 0.00 μB/atom

a b c (Å): 4.5917 5.6536 5.6536
angles (deg): 109.59 90.00 90.00
Closest atoms and distances in Å follow each position.
Fractional positions:
Nb  0.0000  0.1285  0.3784  2 Mo 2.80, 4 Nb 2.82-2.84, 2 Ir 2.82-2.83
Nb  0.0000  0.6216  0.8715  2 Mo 2.80, 4 Nb 2.82-2.84, 2 Ir 2.82-2.83
Nb  0.0000  0.6256  0.3744  8 Nb 2.82-2.84
Nb  0.5000  0.3749  0.1251  2 Ir 2.82, 4 Nb 2.82-2.83, 2 Mo 2.83
Nb  0.5000  0.8749  0.6251  2 Ir 2.82, 4 Nb 2.82-2.83, 2 Mo 2.83
Nb  0.5000  0.8747  0.1253  8 Nb 2.83
Mo  0.5000  0.3751  0.6249  8 Nb 2.80-2.83
Ir  0.0000  0.1244  0.8756  8 Nb 2.82-2.83